DFT (GGA-PBE) results for a relaxed structure of NaAgI4. Values from VASP.

The structure in Quantum ESPRESSO input format:
```
&SYSTEM
  ibrav = 0, nat = 6, ntyp = 3
/
ATOMIC_SPECIES
Ag 107.87 Ag.upf
I 126.90 I.upf
Na 22.99 Na.upf
ATOMIC_POSITIONS crystal
Ag 0.0000 0.5000 0.5000
I 0.5000 0.2389 0.2909
I 0.5000 0.7611 0.7091
I 0.0000 0.7628 0.2658
I 0.0000 0.2372 0.7342
Na 0.5000 0.5000 0.0000
CELL_PARAMETERS angstrom
-3.0795 2.9477 0.6465
-0.7560 -2.1195 6.0620
5.6526 5.7910 0.5211
```

Calculated values
space-group type	P2/m, No. 10
uncorrected formation energy	-353	meV per atom
total DFT energy (no corrections)	-12.5	eV per formula unit
total magnetic moment	0.00	Bohr magnetons per cell

=====

DFT (GGA-PBE) results for a relaxed structure of Cr3InBr. Values from VASP.

The structure in Quantum ESPRESSO input format:
```
&SYSTEM
  ibrav = 0, nat = 5, ntyp = 3
/
ATOMIC_SPECIES
Cr 52.00 Cr.upf
In 114.82 In.upf
Br 79.90 Br.upf
ATOMIC_POSITIONS crystal
Cr 0.0000 0.5000 0.0000
Cr 0.5000 0.0000 0.0000
Cr 0.0000 0.0000 0.5000
In 0.0000 0.0000 0.0000
Br 0.5000 0.5000 0.5000
CELL_PARAMETERS angstrom
5.2225 0.0000 0.0000
0.0000 5.2225 0.0000
0.0000 0.0000 5.2225
```

Calculated values
space-group type	Pm-3m, No. 221
uncorrected formation energy	1242	meV per atom
total DFT energy (no corrections)	-27.1	eV per formula unit
total magnetic moment	12.74	Bohr magnetons per cell
distance to the lowest polymorph of the same formula	0.168	eV/atom

=====

DFT (GGA-PBE) results for a relaxed structure of SnHIrPd2. Values from VASP.

The structure in Quantum ESPRESSO input format:
```
&SYSTEM
  ibrav = 0, nat = 5, ntyp = 4
/
ATOMIC_SPECIES
H 1.01 H.upf
Ir 192.22 Ir.upf
Sn 118.71 Sn.upf
Pd 106.42 Pd.upf
ATOMIC_POSITIONS crystal
H 0.0000 0.0000 0.0000
Ir 0.0000 0.0000 0.5000
Sn 0.5000 0.5000 0.5000
Pd 0.5000 0.0000 0.0000
Pd 0.0000 0.5000 0.0000
CELL_PARAMETERS angstrom
4.0652 0.0000 0.0000
0.0000 4.0652 0.0000
0.0000 0.0000 4.0728
```

Calculated values
space-group type	P4/mmm, No. 123
total DFT energy (no corrections)	-27.7	eV per formula unit
total magnetic moment	0.00	Bohr magnetons per cell

=====

DFT (GGA-PBE) results for a relaxed structure of RbGeOF2. Values from VASP.

The structure in Quantum ESPRESSO input format:
```
&SYSTEM
  ibrav = 0, nat = 5, ntyp = 4
/
ATOMIC_SPECIES
F 19.00 F.upf
Ge 72.64 Ge.upf
O 16.00 O.upf
Rb 85.47 Rb.upf
ATOMIC_POSITIONS crystal
F 0.5000 0.0000 0.0000
F 0.0000 0.5000 0.0000
Ge 0.5000 0.5000 0.5000
O 0.0000 0.0000 0.5000
Rb 0.0000 0.0000 0.0000
CELL_PARAMETERS angstrom
-2.3755 -2.8105 3.1211
1.3585 -3.9072 -2.4844
3.6499 -0.3163 2.4932
```

Calculated values
space-group type	P4/mmm, No. 123
uncorrected formation energy	-402	meV per atom
total DFT energy (no corrections)	-16.3	eV per formula unit
total magnetic moment	0.00	Bohr magnetons per cell
distance to the lowest polymorph of the same formula	1.616	eV/atom

=====

DFT (GGA-PBE) results for a relaxed structure of AcYIn3. Values from VASP.

The structure in Quantum ESPRESSO input format:
```
&SYSTEM
  ibrav = 0, nat = 10, ntyp = 3
/
ATOMIC_SPECIES
Y 88.91 Y.upf
In 114.82 In.upf
Ac 227.00 Ac.upf
ATOMIC_POSITIONS crystal
Y 0.7500 0.2058 0.4117
Y 0.2500 0.7942 0.5883
In 0.7500 0.6255 0.2510
In 0.2500 0.3745 0.7490
In 0.2500 0.6850 0.3699
In 0.7500 0.3150 0.6301
In 0.2500 0.4741 0.9482
In 0.7500 0.5259 0.0518
Ac 0.2500 0.0773 0.1547
Ac 0.7500 0.9227 0.8453
CELL_PARAMETERS angstrom
4.7215 0.0000 0.0000
0.0000 4.5109 0.0000
0.0000 -2.2555 14.3834
```

Calculated values
space-group type	Cmcm, No. 63
formation energy	-0.439	eV per atom
total DFT energy (no corrections)	-21.0	eV per formula unit
total magnetic moment	0.00	Bohr magnetons per cell

=====

DFT (GGA-PBE) results for a relaxed structure of Ti4CuS8. Values from VASP.

The structure in Quantum ESPRESSO input format:
```
&SYSTEM
  ibrav = 0, nat = 13, ntyp = 3
/
ATOMIC_SPECIES
Ti 47.87 Ti.upf
Cu 63.55 Cu.upf
S 32.06 S.upf
ATOMIC_POSITIONS crystal
Ti 0.3713 0.3713 0.3713
Ti 0.3713 0.3713 0.8861
Ti 0.8861 0.3713 0.3713
Ti 0.3713 0.8861 0.3713
Cu 0.7500 0.7500 0.7500
S 0.6195 0.6195 0.1414
S 0.1414 0.6195 0.6195
S 0.6195 0.1414 0.6195
S 0.1284 0.1284 0.6148
S 0.1284 0.1284 0.1284
S 0.6195 0.6195 0.6195
S 0.1284 0.6148 0.1284
S 0.6148 0.1284 0.1284
CELL_PARAMETERS angstrom
-1.8413 -5.5711 -3.8890
3.2129 -6.1875 0.9718
-3.4909 -5.3534 2.9509
```

Calculated values
space-group type	F-43m, No. 216
uncorrected formation energy	-1213	meV per atom
total DFT energy (no corrections)	-84.5	eV per formula unit
total magnetic moment	0.00	Bohr magnetons per cell
distance to the lowest polymorph of the same formula	0.000	eV/atom